1.
## CaThInAu (PBE)

Data for a relaxed CaThInAu crystal.

a b c (Å): 5.3451 5.3451 5.3451
angles (deg): 60.00 60.00 60.00
Last column: nearest neighbours and their distance in Å.
Element x y z (fractional)
Ca 0.0000 0.0000 0.0000  4 Au 3.27, 4 In 3.27
Au 0.7500 0.7500 0.7500  4 Ca 3.27, 4 Th 3.27
Th 0.5000 0.5000 0.5000  4 In 3.27, 4 Au 3.27
In 0.2500 0.2500 0.2500  4 Ca 3.27, 4 Th 3.27

ΔH_f (0 K) = -466.2 meV/atom
Space-group type = F-43m (216)

=====

2.
## CaTmInAu (PBE)

Data for a relaxed CaTmInAu crystal.

a b c (Å): 3.6788 3.6788 7.4909
angles (deg): 90.00 90.00 90.00
Last column: nearest neighbours and their distance in Å.
Element x y z (fractional)
Ca 0.0000 0.0000 0.8434  4 Au 3.27, 4 In 3.34, 1 Tm 3.46
Tm 0.0000 0.0000 0.3821  4 Au 2.99, 4 In 3.24
In 0.5000 0.5000 0.1234  4 Tm 3.24, 4 Ca 3.34, 1 Au 3.41
Au 0.5000 0.5000 0.5791  4 Tm 2.99, 4 Ca 3.27

ΔH_f (0 K) = -664.6 meV/atom
Space-group type = P4mm (99)
Energy relative to the lowest polymorph listed for this composition = 0 meV/atom

=====

3.
## CaTmInAu (PBE)

Data for a relaxed CaTmInAu crystal.

a b c (Å): 5.2072 5.2072 5.2072
angles (deg): 60.00 60.00 60.00
Last column: nearest neighbours and their distance in Å.
Element x y z (fractional)
Ca 0.2500 0.2500 0.2500  4 In 3.19, 4 Au 3.19
Tm 0.7500 0.7500 0.7500  4 Au 3.19, 4 In 3.19
Au 0.0000 0.0000 0.0000  4 Ca 3.19, 4 Tm 3.19
In 0.5000 0.5000 0.5000  4 Tm 3.19, 4 Ca 3.19

ΔH_f (0 K) = -596.8 meV/atom
Space-group type = F-43m (216)
Energy relative to the lowest polymorph listed for this composition = 68 meV/atom

=====

4.
## CaY2InAu (PBE)

Data for a relaxed CaY2InAu crystal.

a b c (Å): 5.7640 5.1942 5.7640
angles (deg): 90.00 90.00 90.00
Last column: nearest neighbours and their distance in Å.
Element x y z (fractional)
Y 0.0000 0.0000 0.5000  2 In 2.88
Y 0.5000 0.0000 0.0000  2 In 2.88
Ca 0.5000 0.5000 0.5000  8 Y 3.88, 4 Au 4.08
Au 0.0000 0.5000 0.0000  2 In 2.60
In 0.0000 0.0000 0.0000  2 Au 2.60, 4 Y 2.88

ΔH_f (0 K) = 230.9 meV/atom
Space-group type = P4/mmm (123)

=====

5.
## CaY2InAu4 (PBE)

Data for a relaxed CaY2InAu4 crystal.

a b c (Å): 5.0112 5.0112 8.7765
angles (deg): 73.41 73.41 60.00
Last column: nearest neighbours and their distance in Å.
Element x y z (fractional)
Ca 0.0000 0.0000 0.0000  8 Au 3.03-3.06
Y 0.7550 0.7550 0.7351  8 Au 3.01-3.18
Y 0.2450 0.2450 0.2649  8 Au 3.01-3.18
In 0.5000 0.5000 0.5000  8 Au 3.10-3.16
Au 0.3731 0.3731 0.8808  3 Ca 3.06, 4 Y 3.14-3.18, 1 In 3.16
Au 0.8781 0.8781 0.3656  4 Y 3.01-3.06, 1 Ca 3.03, 3 In 3.10
Au 0.1219 0.1219 0.6344  4 Y 3.01-3.06, 1 Ca 3.03, 3 In 3.10
Au 0.6269 0.6269 0.1192  3 Ca 3.06, 4 Y 3.14-3.18, 1 In 3.16

ΔH_f (0 K) = -770.0 meV/atom
Space-group type = R-3m (166)

=====

6.
## CaZnIn2Au2 (PBE)

Data for a relaxed CaZnIn2Au2 crystal.

a b c (Å): 5.5410 5.5410 6.7659
angles (deg): 114.17 114.17 90.00
Last column: nearest neighbours and their distance in Å.
Element x y z (fractional)
Ca 0.5000 0.5000 0.0000  2 Au 3.00
Zn 0.0000 0.0000 0.0000  2 Au 2.52
In 0.2500 0.7500 0.5000  4 Au 2.78
In 0.7500 0.2500 0.5000  4 Au 2.78
Au 0.7719 0.7719 0.5438  1 Zn 2.52, 4 In 2.78
Au 0.2281 0.2281 0.4562  1 Zn 2.52, 4 In 2.78

ΔH_f (0 K) = -152.8 meV/atom
Space-group type = I4/mmm (139)

=====

7.
## Ca2Zn4InAu3 (PBE)

Data for a relaxed Ca2Zn4InAu3 crystal.

a b c (Å): 4.1868 4.1868 12.0236
angles (deg): 90.00 90.00 90.00
Last column: nearest neighbours and their distance in Å.
Element x y z (fractional)
Ca 0.5000 0.0000 0.2404  4 Au 3.20, 8 Zn 3.25-3.57
Ca 0.0000 0.5000 0.7596  4 Au 3.20, 8 Zn 3.25-3.57
Zn 0.5000 0.5000 0.0000  4 Au 2.68, 4 Zn 2.96
Zn 0.0000 0.0000 0.0000  4 Au 2.68, 4 Zn 2.96
Zn 0.5000 0.0000 0.6488  3 Au 2.55-2.75, 2 In 2.75
Zn 0.0000 0.5000 0.3512  3 Au 2.55-2.75, 2 In 2.75
In 0.5000 0.5000 0.5000  4 Zn 2.75, 4 Au 2.96
Au 0.0000 0.0000 0.5000  4 Zn 2.75, 4 In 2.96
Au 0.5000 0.0000 0.8612  5 Zn 2.55-2.68
Au 0.0000 0.5000 0.1388  5 Zn 2.55-2.68

ΔH_f (0 K) = -436.7 meV/atom
Space-group type = P-4m2 (115)

=====

8.
## Ca2ZrInAu (PBE)

Data for a relaxed Ca2ZrInAu crystal.

a b c (Å): 5.8289 5.0447 5.8289
angles (deg): 90.00 90.00 90.00
Last column: nearest neighbours and their distance in Å.
Element x y z (fractional)
Ca 0.0000 0.0000 0.5000  2 In 2.91
Ca 0.5000 0.0000 0.0000  2 In 2.91
Au 0.0000 0.5000 0.0000  2 In 2.52
Zr 0.5000 0.5000 0.5000  8 Ca 3.85, 4 Au 4.12
In 0.0000 0.0000 0.0000  2 Au 2.52

ΔH_f (0 K) = 602.7 meV/atom
Space-group type = P4/mmm (123)

=====

9.
## CaIrAu (PBE)

Data for a relaxed CaIrAu crystal.

a b c (Å): 4.4254 4.4254 3.9214
angles (deg): 90.00 90.00 120.00
Last column: nearest neighbours and their distance in Å.
Element x y z (fractional)
Ca 0.3333 0.6667 0.3333  6 Ir 3.22, 6 Au 3.22
Ir 0.6667 0.3333 0.8334  3 Au 2.55
Au 0.0000 0.0000 0.8333  3 Ir 2.55

ΔH_f (0 K) = -204.9 meV/atom
Space-group type = P-6m2 (187)
Energy relative to the lowest polymorph listed for this composition = 0 meV/atom

=====

10.
## CaIr4Au (PBE)

Data for a relaxed CaIr4Au crystal.

a b c (Å): 5.2910 5.2910 5.2910
angles (deg): 60.00 60.00 60.00
Last column: nearest neighbours and their distance in Å.
Element x y z (fractional)
Ca 0.0000 0.0000 0.0000  12 Ir 3.10, 4 Au 3.24
Ir 0.8751 0.3750 0.3750  6 Ir 2.64-2.65
Ir 0.3750 0.3750 0.8751  6 Ir 2.64-2.65
Ir 0.3750 0.8751 0.3750  6 Ir 2.64-2.65
Ir 0.3750 0.3750 0.3750  6 Ir 2.64-2.65
Au 0.7500 0.7500 0.7500  12 Ir 3.10, 4 Ca 3.24

ΔH_f (0 K) = 45.7 meV/atom
Space-group type = F-43m (216)

=====

11.
## Ca3IrAu (PBE)

Data for a relaxed Ca3IrAu crystal.

a b c (Å): 5.3941 5.3941 5.3941
angles (deg): 90.00 90.00 90.00
Last column: nearest neighbours and their distance in Å.
Element x y z (fractional)
Ca 0.0000 0.5000 0.0000  2 Ir 2.70
Ca 0.0000 0.0000 0.5000  2 Ir 2.70
Ca 0.5000 0.0000 0.0000  2 Ir 2.70
Ir 0.0000 0.0000 0.0000  6 Ca 2.70
Au 0.5000 0.5000 0.5000  12 Ca 3.81

ΔH_f (0 K) = -223.0 meV/atom
Space-group type = Pm-3m (221)
Energy relative to the lowest polymorph listed for this composition = 0 meV/atom

=====

12.
## CaIr2Au (PBE)

Data for a relaxed CaIr2Au crystal.

a b c (Å): 5.0536 5.0536 5.1134
angles (deg): 78.89 78.89 33.64
Last column: nearest neighbours and their distance in Å.
Element x y z (fractional)
Ca 0.2498 0.2498 0.2682  3 Au 2.78-2.94, 5 Ir 2.83-3.07, 2 Ca 2.92
Ir 0.0147 0.0147 0.9446  5 Ir 2.66-2.92, 2 Au 2.79
Ir 0.7466 0.7466 0.7957  5 Ir 2.66-2.92, 2 Ca 2.83, 2 Au 2.93
Au 0.4889 0.4889 0.4916  3 Ca 2.78-2.94, 4 Ir 2.79-2.93, 2 Au 2.92

ΔH_f (0 K) = 33.6 meV/atom
Space-group type = Cm (8)
Energy relative to the lowest polymorph listed for this composition = 87 meV/atom

=====

13.
## CaIr2Au (PBE)

Data for a relaxed CaIr2Au crystal.

a b c (Å): 2.9476 4.9341 5.8360
angles (deg): 53.69 90.00 90.00
Last column: nearest neighbours and their distance in Å.
Element x y z (fractional)
Ca 0.0000 0.0000 0.5000  6 Ir 2.87-2.92, 4 Au 2.87, 2 Ca 2.95
Ir 0.0000 0.0000 0.0000  4 Au 2.87, 6 Ir 2.87-2.95, 2 Ca 2.92
Ir 0.5000 0.5000 0.0000  4 Ca 2.87, 6 Ir 2.87-2.95, 2 Au 2.92
Au 0.5000 0.5000 0.5000  6 Ir 2.87-2.92, 4 Ca 2.87, 2 Au 2.95

ΔH_f (0 K) = -21.2 meV/atom
Space-group type = P2/m (10)
Energy relative to the lowest polymorph listed for this composition = 32 meV/atom

=====

14.
## CaIr2Au (PBE)

Data for a relaxed CaIr2Au crystal.

a b c (Å): 5.0034 5.0034 2.9329
angles (deg): 90.00 90.00 109.98
Last column: nearest neighbours and their distance in Å.
Element x y z (fractional)
Ca 0.0000 0.5000 0.5000  2 Au 2.87, 8 Ir 2.90, 2 Ca 2.93
Ir 0.0000 0.0000 0.0000  4 Ir 2.87-2.93, 4 Ca 2.90, 4 Au 2.90
Ir 0.5000 0.5000 0.0000  4 Ir 2.87-2.93, 4 Au 2.90, 4 Ca 2.90
Au 0.5000 0.0000 0.5000  2 Ca 2.87, 8 Ir 2.90, 2 Au 2.93

ΔH_f (0 K) = 139.3 meV/atom
Space-group type = Cmmm (65)
Energy relative to the lowest polymorph listed for this composition = 192 meV/atom

=====

15.
## CaIr2Au (PBE)

Data for a relaxed CaIr2Au crystal.

a b c (Å): 4.9306 5.6363 2.8846
angles (deg): 75.91 88.36 115.47
Last column: nearest neighbours and their distance in Å.
Element x y z (fractional)
Ca 0.5000 0.5000 0.0000  4 Au 2.82-2.89, 4 Ir 2.84, 2 Ca 2.88
Ir 0.0000 0.0000 0.0000  6 Ir 2.82-2.89, 2 Ca 2.84, 2 Au 2.84
Ir 0.5000 0.0000 0.5000  6 Ir 2.82-2.89, 2 Au 2.84, 2 Ca 2.84
Au 0.0000 0.5000 0.5000  4 Ca 2.82-2.89, 4 Ir 2.84, 2 Au 2.88

ΔH_f (0 K) = 55.3 meV/atom
Space-group type = C2/m (12)
Energy relative to the lowest polymorph listed for this composition = 108 meV/atom

=====

16.
## CaIr2Au (PBE)

Data for a relaxed CaIr2Au crystal.

a b c (Å): 2.8742 3.8494 6.8116
angles (deg): 90.00 90.00 90.00
Last column: nearest neighbours and their distance in Å.
Element x y z (fractional)
Ca 0.5000 0.5000 0.7595  2 Ca 2.87, 5 Ir 3.02-3.16, 4 Au 3.08
Ir 0.0000 0.0000 0.0615  6 Ir 2.59-2.87, 1 Au 2.83
Ir 0.5000 0.5000 0.2028  6 Ir 2.59-2.87
Au 0.0000 0.0000 0.4763  5 Ir 2.83-3.04, 2 Au 2.87, 4 Ca 3.08

ΔH_f (0 K) = -52.9 meV/atom
Space-group type = Pmm2 (25)
Energy relative to the lowest polymorph listed for this composition = 0 meV/atom

=====

17.
## CaIr2Au (PBE)

Data for a relaxed CaIr2Au crystal.

a b c (Å): 4.4283 2.9041 5.7083
angles (deg): 76.57 90.00 90.00
Last column: nearest neighbours and their distance in Å.
Element x y z (fractional)
Ca 0.5000 0.7314 0.7152  1 Ir 2.68, 4 Au 2.86-2.87, 2 Ca 2.90
Ir 0.0000 0.0106 0.0715  6 Ir 2.72-2.90, 2 Au 2.86-2.89
Ir 0.5000 0.4401 0.1957  1 Ca 2.68, 6 Ir 2.72-2.90, 2 Au 2.85
Au 0.0000 0.3179 0.5176  5 Ir 2.85-3.08, 4 Ca 2.86-2.87, 2 Au 2.90

ΔH_f (0 K) = -13.6 meV/atom
Space-group type = Pm (6)
Energy relative to the lowest polymorph listed for this composition = 39 meV/atom

=====

18.
## CaIrAu (PBE)

Data for a relaxed CaIrAu crystal.

a b c (Å): 4.5953 4.5953 4.5953
angles (deg): 60.00 60.00 60.00
Last column: nearest neighbours and their distance in Å.
Element x y z (fractional)
Ca 0.7500 0.7500 0.7500  4 Ir 2.81, 4 Au 2.81
Ir 0.0000 0.0000 0.0000  4 Ca 2.81
Au 0.5000 0.5000 0.5000  4 Ca 2.81

ΔH_f (0 K) = 554.1 meV/atom
Space-group type = F-43m (216)
Energy relative to the lowest polymorph listed for this composition = 759 meV/atom

=====

19.
## CaIr2Au (PBE)

Data for a relaxed CaIr2Au crystal.

a b c (Å): 5.8759 5.8759 5.8759
angles (deg): 151.12 131.43 57.50
Last column: nearest neighbours and their distance in Å.
Element x y z (fractional)
Ca 0.2442 0.7442 0.5000  4 Ir 2.83, 2 Ca 2.93
Ir 0.9689 0.9689 0.0000  2 Ir 2.59, 4 Au 2.88
Ir 0.7620 0.2620 0.5000  2 Ir 2.59, 4 Ca 2.83, 2 Au 2.85
Au 0.5249 0.5249 0.0000  6 Ir 2.85-2.88, 2 Au 2.93

ΔH_f (0 K) = 81.4 meV/atom
Space-group type = Imm2 (44)
Energy relative to the lowest polymorph listed for this composition = 134 meV/atom

=====

20.
## CaIrAu (PBE)

Data for a relaxed CaIrAu crystal.

a b c (Å): 5.3372 5.3372 5.3372
angles (deg): 148.49 132.75 57.91
Last column: nearest neighbours and their distance in Å.
Element x y z (fractional)
Ca 0.3307 0.3307 0.0000  2 Ca 2.90, 5 Au 2.95-3.11, 5 Ir 3.02-3.07
Ir 0.6541 0.6541 0.0000  4 Au 2.89, 2 Ir 2.90, 5 Ca 3.02-3.07
Au 0.0152 0.0152 0.0000  4 Ir 2.89, 2 Au 2.90, 5 Ca 2.95-3.11

ΔH_f (0 K) = -36.7 meV/atom
Space-group type = Imm2 (44)
Energy relative to the lowest polymorph listed for this composition = 168 meV/atom

=====

The following total moment values (in μB/f.u.) correspond, in order, to the records above: 0.00 0.00 0.00 0.00 0.00 0.00 0.00 2.74 0.00 0.00 0.00 0.00 0.00 0.00 0.00 0.00 0.00 0.00 0.00 0.35.
The following DOS(E_F) values (in states/eV per atom) correspond, in order, to the records above: 0.58 0.43 0.85 0.96 0.50 0.45 0.55 1.46 0.61 1.86 0.82 0.97 0.70 0.95 0.82 0.47 0.58 0.76 1.12 1.01.